# 1
Compound: TaSi
Source: the Alexandria database
Functional: PBE-GGA
Structure: optimized geometry

Computed properties:
E_form (uncorrected)	0.5359	eV per atom
magnetization	0.0	μB/f.u.

abc: 4.5212 4.5212 7.9214
angles: 90.00 90.00 120.00
Last column: nearest neighbours and their distance in Å.
Sites, in units of the cell vectors:
Ta  0.0000  0.0000  0.2500  3 Ta 2.61, 6 Si 2.91
Ta  0.0000  0.0000  0.7500  3 Ta 2.61, 6 Si 2.91
Ta  0.3333  0.6667  0.7500  3 Ta 2.61, 8 Si 2.67-2.91
Ta  0.6667  0.3333  0.2500  3 Ta 2.61, 8 Si 2.67-2.91
Si  0.3333  0.6667  0.0872  1 Si 2.58, 1 Ta 2.67
Si  0.6667  0.3333  0.5872  1 Si 2.58, 1 Ta 2.67
Si  0.6667  0.3333  0.9128  1 Si 2.58, 1 Ta 2.67
Si  0.3333  0.6667  0.4128  1 Si 2.58, 1 Ta 2.67

# 2
Compound: K6RbCd2
Source: the Alexandria database
Functional: PBE-GGA
Structure: optimized geometry

Computed properties:
formation enthalpy at 0 K	-16.3	meV/atom
magnetization	0.0	μB/f.u.

abc: 11.0969 11.0969 11.0969
angles: 103.69 111.66 113.22
Last column: nearest neighbours and their distance in Å.
Sites, in units of the cell vectors:
K  0.5199  0.8086  0.7113  3 Cd 3.82-4.24
K  0.4801  0.1914  0.2887  3 Cd 3.82-4.24
K  0.0972  0.8086  0.2887  3 Cd 3.82-4.24
K  0.9028  0.1914  0.7113  3 Cd 3.82-4.24
K  0.7728  0.0146  0.2418  2 Cd 3.77-3.92, 2 K 4.20
K  0.2272  0.9854  0.7582  2 Cd 3.77-3.92, 2 K 4.20
K  0.2272  0.4690  0.2418  2 Cd 3.77-3.92, 2 K 4.20
K  0.7728  0.5310  0.7582  2 Cd 3.77-3.92, 2 K 4.20
K  0.6948  0.3157  0.0106  3 Cd 3.75-3.82
K  0.3052  0.6843  0.9894  3 Cd 3.75-3.82
K  0.3052  0.3157  0.6209  3 Cd 3.75-3.82
K  0.6948  0.6843  0.3791  3 Cd 3.75-3.82
Rb  0.0000  0.5000  0.5000  12 K 4.50-4.60
Rb  0.0000  0.0000  0.0000  8 K 4.29-4.32, 2 Cd 4.58
Cd  0.5000  0.1075  0.6075  1 Cd 2.95
Cd  0.5000  0.8925  0.3925  1 Cd 2.95
Cd  0.6251  0.6251  0.0000  1 Cd 3.06
Cd  0.3749  0.3749  0.0000  1 Cd 3.06

# 3
Compound: CsK7Rb4
Source: the Alexandria database
Functional: PBE-GGA
Structure: optimized geometry

Computed properties:
formation enthalpy at 0 K	7.8	meV/atom
magnetization	0.0	μB/f.u.

abc: 7.0123 10.4150 15.6541
angles: 113.24 90.00 109.67
Last column: nearest neighbours and their distance in Å.
Sites, in units of the cell vectors:
Cs  0.8376  0.6753  0.5014  7 K 4.80-5.06, 5 Rb 4.96-5.07
K  0.5735  0.1471  0.2433  5 K 4.65-4.83, 6 Rb 4.93-5.05, 1 Cs 5.06
K  0.4252  0.8504  0.7566  5 K 4.71-4.88, 5 Rb 4.91-5.10, 2 Cs 5.04
K  0.3317  0.6635  0.9979  7 K 4.67-4.90, 5 Rb 4.73-4.90
K  0.6694  0.3388  0.0049  7 K 4.69-4.93, 5 Rb 4.73-4.88
K  0.0874  0.1747  0.7610  7 K 4.67-5.12, 4 Rb 4.69-4.85, 1 Cs 4.88
K  0.9164  0.8329  0.2390  7 K 4.65-5.09, 4 Rb 4.70-4.80, 1 Cs 4.96
K  0.5036  0.0072  0.4987  4 Rb 4.63-4.90, 6 K 4.74-5.12, 2 Cs 4.80
Rb  0.7469  0.4938  0.7569  8 K 4.72-4.95, 3 Rb 4.81-5.07, 1 Cs 5.01
Rb  0.2506  0.5013  0.2434  8 K 4.73-4.93, 2 Rb 4.81-5.04, 2 Cs 5.07
Rb  0.9997  0.9995  0.9978  10 K 4.69-4.95, 2 Rb 4.81
Rb  0.1579  0.3157  0.4991  7 K 4.63-5.10, 2 Cs 4.96, 3 Rb 5.04-5.07

# 4
Compound: BPIrI
Source: the Alexandria database
Functional: PBE-GGA
Structure: optimized geometry

Computed properties:
E_form (uncorrected)	0.1773	eV per atom
ΔE to the lowest computed polymorph	43	meV/atom
magnetization	0.0	μB/f.u.

abc: 3.4752 3.7876 7.2951
angles: 75.22 83.50 82.12
Last column: nearest neighbours and their distance in Å.
Sites, in units of the cell vectors:
I  0.0922  0.3377  0.1967  2 Ir 2.75-2.78
P  0.3005  0.5727  0.6940  1 B 1.87
B  0.7025  0.2349  0.8055  1 P 1.87, 1 Ir 1.97
Ir  0.1846  0.9598  0.9116  2 B 1.97-2.17

# 5
Compound: Dy2GaHPd6
Source: the Alexandria database
Functional: PBE-GGA
Structure: optimized geometry

Computed properties:
VASP energy	-0.199	hartree per atom
magnetization	0.0	μB/f.u.

abc: 5.6813 6.8330 6.8378
angles: 49.23 65.29 89.90
Last column: nearest neighbours and their distance in Å.
Sites, in units of the cell vectors:
Dy  0.7232  0.2748  0.5526  7 Pd 2.95-3.30
Dy  0.2768  0.7252  0.4474  7 Pd 2.95-3.30
Ga  0.0000  0.0000  0.0000  6 Pd 2.48
H  0.5000  0.5000  0.0000  6 Pd 1.99-2.00
Pd  0.2694  0.2300  0.4600  1 H 2.00
Pd  0.7658  0.7286  0.9640  1 H 1.99
Pd  0.2687  0.7278  0.9636  1 H 1.99
Pd  0.7313  0.2722  0.0364  1 H 1.99
Pd  0.2342  0.2714  0.0360  1 H 1.99
Pd  0.7306  0.7700  0.5400  1 H 2.00

# 6
Compound: HoCo2NiH8
Source: the Alexandria database
Functional: PBE-GGA
Structure: optimized geometry

Computed properties:
VASP energy	-0.165	hartree per atom
magnetization	0.0	μB/f.u.

abc: 4.3898 4.3898 5.7034
angles: 67.37 67.37 60.00
Last column: nearest neighbours and their distance in Å.
Sites, in units of the cell vectors:
Ho  0.5000  0.5000  0.5000  6 H 2.25
Co  0.2971  0.2971  0.1086  4 H 1.59-1.62
Co  0.7029  0.7029  0.8914  4 H 1.59-1.62
Ni  0.0000  0.0000  0.0000  6 H 1.67
H  0.1934  0.1934  0.4199  1 Co 1.59
H  0.6370  0.3196  0.1392  2 Co 1.62-1.80, 1 Ni 1.67
H  0.8066  0.8066  0.5801  1 Co 1.59
H  0.9042  0.6370  0.1392  2 Co 1.62-1.80, 1 Ni 1.67
H  0.0958  0.3630  0.8608  2 Co 1.62-1.80, 1 Ni 1.67
H  0.3196  0.9042  0.1392  2 Co 1.62-1.80, 1 Ni 1.67
H  0.6804  0.0958  0.8608  2 Co 1.62-1.80, 1 Ni 1.67
H  0.3630  0.6804  0.8608  2 Co 1.62-1.80, 1 Ni 1.67

# 7
Compound: SbMo2Br
Source: the Alexandria database
Functional: PBE-GGA
Structure: optimized geometry

Computed properties:
E_form (uncorrected)	1.0161	eV per atom
ΔE to the lowest computed polymorph	819	meV/atom
magnetization	0.5	μB/f.u.

abc: 4.7767 4.7767 4.7767
angles: 60.00 60.00 60.00
Last column: nearest neighbours and their distance in Å.
Sites, in units of the cell vectors:
Sb  0.2500  0.2500  0.2500  4 Mo 2.93, 4 Br 2.93
Mo  0.0000  0.0000  0.0000  4 Mo 2.93, 4 Sb 2.93
Mo  0.7500  0.7500  0.7500  4 Br 2.93, 4 Mo 2.93
Br  0.5000  0.5000  0.5000  4 Mo 2.93, 4 Sb 2.93

# 8
Compound: Mg3OsO
Source: the Alexandria database
Functional: PBE-GGA
Structure: optimized geometry

Computed properties:
E_form (uncorrected)	-0.6341	eV per atom
ΔE to the lowest computed polymorph	0	meV/atom
magnetization	0.0	μB/f.u.

abc: 4.1535 4.1535 4.1535
angles: 90.00 90.00 90.00
Last column: nearest neighbours and their distance in Å.
Sites, in units of the cell vectors:
Mg  0.0000  0.5000  0.0000  2 O 2.08
Mg  0.0000  0.0000  0.5000  2 O 2.08
Mg  0.5000  0.0000  0.0000  2 O 2.08
Os  0.5000  0.5000  0.5000  12 Mg 2.94
O  0.0000  0.0000  0.0000  6 Mg 2.08

# 9
Compound: La2ThMg
Source: the Alexandria database
Functional: PBE-GGA
Structure: optimized geometry

Computed properties:
ΔE to the lowest computed polymorph	0	meV/atom
formation enthalpy at 0 K	-55.7	meV/atom
magnetization	0.0	μB/f.u.

abc: 3.6615 3.6615 9.6847
angles: 90.00 90.00 90.00
Last column: nearest neighbours and their distance in Å.
Sites, in units of the cell vectors:
Mg  0.5000  0.5000  0.0000  8 La 3.52, 4 Mg 3.66
Th  0.5000  0.5000  0.5000  8 La 3.57, 4 Th 3.66
La  0.0000  0.0000  0.7540  4 Mg 3.52, 4 Th 3.57, 4 La 3.66
La  0.0000  0.0000  0.2460  4 Mg 3.52, 4 Th 3.57, 4 La 3.66

# 10
Compound: TaZn2As
Source: the Alexandria database
Functional: PBE-GGA
Structure: optimized geometry

Computed properties:
formation enthalpy at 0 K	41.0	meV/atom
magnetization	0.0	μB/f.u.

abc: 4.9720 4.9720 5.0436
angles: 84.44 84.44 32.46
Last column: nearest neighbours and their distance in Å.
Sites, in units of the cell vectors:
As  0.5166  0.5166  0.4622  3 Ta 2.73-2.78, 5 Zn 2.77-2.94, 2 As 2.78
Ta  0.2588  0.2588  0.2737  3 As 2.73-2.78, 2 Ta 2.78, 6 Zn 2.85-2.92
Zn  0.9904  0.9904  0.9776  5 Zn 2.72-2.80, 4 As 2.84-2.94, 2 Ta 2.90
Zn  0.7342  0.7342  0.7865  5 Zn 2.72-2.80, 1 As 2.77, 4 Ta 2.85-2.92

# 11
Compound: CrCoTc2
Source: the Alexandria database
Functional: PBE-GGA
Structure: optimized geometry

Computed properties:
ΔE to the lowest computed polymorph	14	meV/atom
formation enthalpy at 0 K	77.1	meV/atom
magnetization	0.0	μB/f.u.

abc: 4.5591 4.5591 4.5591
angles: 131.89 131.89 70.40
Last column: nearest neighbours and their distance in Å.
Sites, in units of the cell vectors:
Co  0.5000  0.5000  0.0000  8 Tc 2.63, 4 Cr 2.63
Cr  0.7500  0.2500  0.5000  8 Tc 2.63, 4 Co 2.63
Tc  0.0000  0.0000  0.0000  4 Co 2.63, 4 Cr 2.63, 4 Tc 2.63
Tc  0.2500  0.7500  0.5000  4 Cr 2.63, 4 Co 2.63, 4 Tc 2.63

# 12
Compound: Pu2TaN
Source: the Alexandria database
Functional: PBE-GGA
Structure: optimized geometry

Computed properties:
E_form (uncorrected)	-0.0263	eV per atom
magnetization	10.5	μB/f.u.

abc: 3.1315 3.1315 9.2662
angles: 80.27 80.27 60.00
Last column: nearest neighbours and their distance in Å.
Sites, in units of the cell vectors:
N  0.5000  0.5000  0.5000  6 Pu 2.36
Ta  0.0000  0.0000  0.0000  2 Pu 3.02, 6 Ta 3.13
Pu  0.1109  0.1109  0.6672  3 N 2.36
Pu  0.8891  0.8891  0.3328  3 N 2.36

no.,DOS(E_F) (states/eV/atom)
1,1.17
2,0.62
3,0.85
4,0.18
5,0.41
6,0.18
7,1.45
8,0.16
9,0.97
10,0.24
11,1.16
12,3.35